DFT (PBE-GGA) results for a relaxed structure of Tb2Ho2ErMg2.

## Properties
The value obtained for the energy of formation from the pure elements is -0.015 eV/atom. The calculation puts the density at 7.08 g cm⁻³.

Structure (CIF):
```
data_Tb2Ho2ErMg2
_chemical_formula_sum 'Tb6 Ho6 Er3 Mg6'
_cell_length_a 5.4156
_cell_length_b 5.4156
_cell_length_c 23.9095
_cell_angle_alpha 90.00
_cell_angle_beta 90.00
_cell_angle_gamma 120.00
_space_group_name_H-M_alt 'R -3 m'
_space_group_IT_number 166
_space_group_name_Hall '-R 3 2"'
loop_
_atom_site_label
_atom_site_type_symbol
_atom_site_fract_x
_atom_site_fract_y
_atom_site_fract_z
_atom_site_occupancy
Tb1 Tb 0.0000 0.0000 0.1547 1
Ho1 Ho 0.0000 0.0000 0.4265 1
Er1 Er 0.0000 0.0000 0.0000 1
Mg1 Mg 0.0000 0.0000 0.2895 1
```